Compound: Cs2SmDyO4
Source: the Alexandria database
Functional: PBE
Structure: optimized geometry

The space group is Imma (No. 74) and the conventional cell measures 7.493, 7.608 and 10.675 Å, with angles of 90.00, 90.00 and 90.00 degrees. The asymmetric unit holds Cs at (0.000, 0.000, 0.000), Cs at (0.250, 0.250, 0.250), Sm at (0.000, 0.000, 0.500), Dy at (0.250, 0.250, 0.750), O at (0.000, 0.055, 0.726) and O at (0.201, 0.250, 0.529).

For the formation energy without anion corrections, the calculation gives -2.4400 eV/atom. For the magnetic moment, the calculation gives 0.0 μB/f.u.